## NaTiAl (PBE)

Data for a relaxed NaTiAl crystal.

Cell lengths 4.986, 4.986, 2.819 Å; angles 90.00, 90.00, 120.00 degrees
Positions (direct):
Na 0.000 0.000 0.000
Ti 0.667 0.333 0.500
Al 0.333 0.667 0.500

Summary:
- total energy (eV/atom) = -3.83
- spin magnetization (μB per formula unit) = 0.642